Material: Ni3Ag2BiF12
Method: DFT, PBE+U
State: optimized geometry

Calculated values
Theoretical density   5.62 g/cm3
Total energy   -4.035 eV/atom

```
data_Ni3Ag2BiF12
_space_group_name_H-M_alt 'R -3 m'
_space_group_IT_number 166
_space_group_name_Hall '-R 3 2"'
_cell_length_a 7.3048
_cell_length_b 7.3048
_cell_length_c 15.8869
_cell_angle_alpha 90.00
_cell_angle_beta 90.00
_cell_angle_gamma 120.00
loop_
_atom_site_label
_atom_site_type_symbol
_atom_site_fract_x
_atom_site_fract_y
_atom_site_fract_z
Ni1 Ni 0.0000 0.5000 0.0000
Ag1 Ag 0.0000 0.0000 0.1205
Bi1 Bi 0.0000 0.0000 0.5000
F1 F 0.0478 0.5239 0.8762
F2 F 0.0775 0.5388 0.2993
```